Record 1
Density functional theory data (PBEsol) for an optimized crystal structure of BaNaP3H3N3O6.

Electronic total energy = -6.871 eV/atom
Total moment = 0.00 μB per formula unit
V = 11.7 Å³/atom

Unit cell a=7.4700 b=7.4700 c=7.9186 alpha=108.34 beta=108.34 gamma=87.71
Closest atoms and distances in Å follow each position.
Positions (direct):
Ba 0.0680 0.0680 0.3074  8 O 2.66-2.96
Ba 0.9320 0.9320 0.6926  8 O 2.66-2.96
Na 0.3198 0.6802 0.5000  4 O 2.30-2.40
Na 0.6802 0.3198 0.5000  4 O 2.30-2.40
P 0.1555 0.4391 0.7610  2 O 1.51-1.52, 1 N 1.67
P 0.3022 0.3022 0.0855  2 O 1.51-1.52, 2 N 1.68
P 0.4391 0.1555 0.7610  2 O 1.51-1.52, 1 N 1.67
P 0.5609 0.8445 0.2390  2 O 1.51-1.52, 1 N 1.67
P 0.6978 0.6978 0.9145  2 O 1.51-1.52, 2 N 1.68
P 0.8445 0.5609 0.2390  2 O 1.51-1.52, 1 N 1.67
H 0.2448 0.6097 0.0805  1 N 1.04
H 0.3903 0.7552 0.9195  1 N 1.04
H 0.4391 0.4391 0.7036  1 N 1.05
H 0.5609 0.5609 0.2964  1 N 1.05
H 0.6097 0.2448 0.0805  1 N 1.04
H 0.7552 0.3903 0.9195  1 N 1.04
N 0.2140 0.4716 0.9912  1 H 1.04
N 0.3383 0.3383 0.6912  1 H 1.05
N 0.4716 0.2140 0.9912  1 H 1.04
N 0.5284 0.7860 0.0088  1 H 1.04
N 0.6617 0.6617 0.3088  1 H 1.05
N 0.7860 0.5284 0.0088  1 H 1.04
O 0.0084 0.7088 0.3436  1 P 1.52
O 0.1448 0.6314 0.7343  1 P 1.51
O 0.1487 0.1487 0.0276  1 P 1.51
O 0.2912 0.9916 0.6564  1 P 1.52
O 0.3686 0.8552 0.2657  1 P 1.51
O 0.3958 0.3958 0.2950  1 P 1.52
O 0.6042 0.6042 0.7050  1 P 1.52
O 0.6314 0.1448 0.7343  1 P 1.51
O 0.7088 0.0084 0.3436  1 P 1.52
O 0.8513 0.8513 0.9724  1 P 1.51
O 0.8552 0.3686 0.2657  1 P 1.51
O 0.9916 0.2912 0.6564  1 P 1.52

***

Record 2
Density functional theory data (PBEsol) for an optimized crystal structure of SiGeP2S.

Electronic total energy = -4.803 eV/atom
Total moment = 0.00 μB per formula unit
V = 17.9 Å³/atom

Unit cell a=4.4972 b=4.4972 c=4.4290 alpha=90.00 beta=90.00 gamma=90.00
Closest atoms and distances in Å follow each position.
Positions (direct):
Si 0.0000 0.0000 0.0000  2 S 2.21, 4 P 2.25
Ge 0.5000 0.5000 0.5000  8 P 3.16, 4 S 3.18
P 0.0000 0.5000 0.0000  2 Si 2.25
P 0.5000 0.0000 0.0000  2 Si 2.25
S 0.0000 0.0000 0.5000  2 Si 2.21

***

Record 3
Density functional theory data (PBEsol) for an optimized crystal structure of PdN2.

Electronic total energy = -7.382 eV/atom
Total moment = 0.00 μB per formula unit
V = 16.9 Å³/atom

Unit cell a=4.6287 b=4.6287 c=4.6287 alpha=144.65 beta=115.74 gamma=75.53
Closest atoms and distances in Å follow each position.
Positions (direct):
Pd 0.0000 0.0000 0.0000  2 N 1.89
N 0.3843 0.0000 0.3843  1 N 1.14
N 0.6157 0.0000 0.6157  1 N 1.14

***

Record 4
Density functional theory data (PBEsol) for an optimized crystal structure of GeRu2N.

Electronic total energy = -7.740 eV/atom
Total moment = 0.00 μB per formula unit
V = 11.8 Å³/atom

Unit cell a=4.0572 b=4.0572 c=4.0572 alpha=60.00 beta=60.00 gamma=60.00
Closest atoms and distances in Å follow each position.
Positions (direct):
Ge 0.0000 0.0000 0.0000  8 Ru 2.48
Ru 0.2500 0.2500 0.2500  4 Ge 2.48, 4 N 2.48
Ru 0.7500 0.7500 0.7500  4 Ge 2.48, 4 N 2.48
N 0.5000 0.5000 0.5000  8 Ru 2.48

***

Record 5
Density functional theory data (PBEsol) for an optimized crystal structure of AgRh2ICl.

Electronic total energy = -3.519 eV/atom
Total moment = 0.01 μB per formula unit
V = 24.3 Å³/atom

Unit cell a=4.7683 b=4.7683 c=5.3458 alpha=90.00 beta=90.00 gamma=90.00
Closest atoms and distances in Å follow each position.
Positions (direct):
Ag 0.0000 0.0000 0.0000  4 Cl 3.37, 8 Rh 3.58
Rh 0.0000 0.5000 0.5000  2 I 2.38
Rh 0.5000 0.0000 0.5000  2 I 2.38
I 0.5000 0.5000 0.5000  4 Rh 2.38
Cl 0.5000 0.5000 0.0000  2 I 2.67

***

Record 6
Density functional theory data (PBEsol) for an optimized crystal structure of ScHg2Cl.

E above lowest polymorph = 0.1649 eV/atom
Total moment = 0.00 μB per formula unit
V = 21.4 Å³/atom

Unit cell a=3.9749 b=3.9749 c=5.4053 alpha=90.00 beta=90.00 gamma=90.00
Closest atoms and distances in Å follow each position.
Positions (direct):
Sc 0.0000 0.0000 0.0000  4 Cl 2.81
Hg 0.0000 0.5000 0.5000  4 Hg 2.81
Hg 0.5000 0.0000 0.5000  4 Hg 2.81
Cl 0.5000 0.5000 0.0000  4 Sc 2.81